Entry 1:
Compound: Sn4C
Source: Alexandria via LeMat-Bulk
Functional: PBE
Structure: relaxed

```
Sn4C
1.0
4.8971 0.0000 0.0000
0.0000 4.8971 0.0000
0.0000 0.0000 4.8971
Sn C
4 1
direct
0.0000 0.0000 0.0000
0.0000 0.5000 0.5000
0.5000 0.0000 0.5000
0.5000 0.5000 0.0000
0.5000 0.5000 0.5000
```

Properties
Density of states at the Fermi level = 0.74 states/eV/atom
E_form = 0.758 eV/atom
Symmetry = Pm-3m, No. 221
Crystal system = cubic
Calculated total energy = -21.45 eV per cell
Total moment = 0.00 Bohr magnetons per cell



Entry 2:
Compound: SnC
Source: Alexandria via LeMat-Bulk
Functional: PBE
Structure: relaxed

```
SnC
1.0
4.0340 -1.7348 0.0000
4.0340 1.7348 0.0000
-0.8531 0.0000 4.9991
Sn C
2 2
direct
0.1690 0.1690 0.2196
0.8310 0.8310 0.7804
0.4190 0.4190 0.5248
0.5810 0.5810 0.4752
```

Properties
Density of states at the Fermi level = 0.51 states/eV/atom
E_form = 0.832 eV/atom
Symmetry = C2/m, No. 12
Crystal system = monoclinic
Calculated total energy = -23.12 eV per cell
Total moment = 0.00 Bohr magnetons per cell



Entry 3:
Compound: SnC
Source: Alexandria via LeMat-Bulk
Functional: PBE
Structure: relaxed

```
SnC
1.0
3.5922 0.0000 0.0000
-1.7961 3.1109 0.0000
0.0000 0.0000 5.8800
Sn C
2 2
direct
0.3333 0.6667 0.0000
0.6667 0.3333 0.5000
0.3333 0.6667 0.6244
0.6667 0.3333 0.1244
```

Properties
E_form = 0.812 eV/atom
Symmetry = P6_3mc, No. 186
Crystal system = hexagonal
Calculated total energy = -23.21 eV per cell
Total moment = 0.00 Bohr magnetons per cell



Entry 4:
Compound: SnC
Source: Alexandria via LeMat-Bulk
Functional: PBE
Structure: relaxed

```
SnC
1.0
-4.6336 4.6336 1.8280
4.6336 -4.6336 1.8280
4.6336 4.6336 -1.8280
Sn C
4 4
direct
0.1149 0.7115 0.8263
0.2885 0.1149 0.4034
0.7115 0.8851 0.5966
0.8851 0.2885 0.1737
0.1174 0.2863 0.4037
0.2863 0.8826 0.1690
0.7137 0.1174 0.8310
0.8826 0.7137 0.5963
```

Properties
E_form = 1.031 eV/atom
Symmetry = I4/m, No. 87
Crystal system = tetragonal
Calculated total energy = -44.66 eV per cell
Total moment = 0.00 Bohr magnetons per cell



Entry 5:
Compound: SnC
Source: Alexandria via LeMat-Bulk
Functional: PBE
Structure: relaxed

```
SnC
1.0
8.6734 0.0000 0.0000
-4.3367 7.5114 0.0000
0.0000 0.0000 3.6771
Sn C
6 6
direct
0.0807 0.6737 0.2500
0.3263 0.4070 0.2500
0.4070 0.0807 0.7500
0.5930 0.9193 0.2500
0.6737 0.5930 0.7500
0.9193 0.3263 0.7500
0.0808 0.4112 0.2500
0.3304 0.9192 0.2500
0.4112 0.3304 0.7500
0.5888 0.6696 0.2500
0.6696 0.0808 0.7500
0.9192 0.5888 0.7500
```

Properties
E_form = 0.998 eV/atom
Symmetry = P6_3/m, No. 176
Crystal system = hexagonal
Calculated total energy = -67.38 eV per cell
Total moment = 0.00 Bohr magnetons per cell



Entry 6:
Compound: SnC4
Source: Alexandria via LeMat-Bulk
Functional: PBE
Structure: relaxed

```
SnC4
1.0
4.2923 0.0000 0.0000
0.0000 4.2923 0.0000
0.0000 0.0000 4.2923
Sn C
1 4
direct
0.0000 0.0000 0.0000
0.0000 0.0000 0.5000
0.0000 0.5000 0.0000
0.5000 0.0000 0.0000
0.5000 0.5000 0.5000
```

Properties
Density of states at the Fermi level = 0.50 states/eV/atom
E_form = 4.285 eV/atom
Symmetry = Pm-3m, No. 221
Crystal system = cubic
Calculated total energy = -19.47 eV per cell
Total moment = 0.04 Bohr magnetons per cell



Entry 7:
Compound: SnC
Source: Alexandria via LeMat-Bulk
Functional: PBE
Structure: relaxed

```
SnC
1.0
3.0833 -1.7476 0.0000
3.0833 1.7476 0.0000
-2.0278 0.0000 6.3352
Sn C
2 2
direct
0.2342 0.2342 0.2071
0.7658 0.7658 0.7929
0.0361 0.0361 0.6084
0.9639 0.9639 0.3916
```

Properties
Density of states at the Fermi level = 0.22 states/eV/atom
E_form = 0.826 eV/atom
Symmetry = C2/m, No. 12
Crystal system = monoclinic
Calculated total energy = -23.15 eV per cell
Total moment = 0.00 Bohr magnetons per cell



Entry 8:
Compound: SnC
Source: Alexandria via LeMat-Bulk
Functional: PBE
Structure: relaxed

```
SnC
1.0
6.2444 0.0000 0.0000
0.0000 6.2444 0.0000
0.0000 0.0000 6.2444
Sn C
6 6
direct
0.0000 0.2500 0.5000
0.0000 0.7500 0.5000
0.2500 0.5000 0.0000
0.5000 0.0000 0.2500
0.5000 0.0000 0.7500
0.7500 0.5000 0.0000
0.0000 0.5000 0.2500
0.0000 0.5000 0.7500
0.2500 0.0000 0.5000
0.5000 0.2500 0.0000
0.5000 0.7500 0.0000
0.7500 0.0000 0.5000
```

Properties
E_form = 0.993 eV/atom
Symmetry = Pm-3n, No. 223
Crystal system = cubic
Calculated total energy = -67.45 eV per cell
Total moment = 0.00 Bohr magnetons per cell



- Which value of calculated total energy does entry 4 give?
  -44.66 eV per cell



- What is the calculated total energy in the first record?
  -21.45 eV per cell